[1]
DFT (PBE-GGA) results for an optimized crystal structure of PmDy7Tm5.

Cell: 6.6772 11.0187 11.4773 Å, 90.00 90.00 90.00°
With the nearest neighbours (Å) after each atom.
Space group Imm2 (No. 44)
Unique sites:
Pm1 0.0000 0.0000 0.0000 (multiplicity 2)  7 Dy 3.50-3.89, 4 Tm 3.73
Dy1 0.0000 0.0000 0.3052 (multiplicity 2)  3 Dy 3.34-3.52, 4 Tm 3.47, 1 Pm 3.50
Dy2 0.0000 0.0000 0.6122 (multiplicity 2)  7 Dy 3.52-3.90, 4 Tm 3.69
Dy3 0.0000 0.3270 0.0553 (multiplicity 4)  5 Tm 3.41-3.46, 4 Dy 3.45-3.81, 1 Pm 3.66
Dy4 0.0000 0.3277 0.5521 (multiplicity 4)  5 Tm 3.42-3.45, 5 Dy 3.47-3.80
Dy5 0.0000 0.5000 0.8051 (multiplicity 2)  6 Dy 3.34-3.47, 4 Tm 3.36
Tm1 0.0000 0.5000 0.3014 (multiplicity 2)  4 Tm 3.09, 4 Dy 3.41-3.45
Tm2 0.2334 0.2293 0.8033 (multiplicity 8)  2 Tm 3.09-3.12, 5 Dy 3.36-3.46

Computed properties:
formation energy from the elements = 0.2490 eV/atom

---

[2]
DFT (PBE-GGA) results for an optimized crystal structure of Ti5Re4Rh.

Cell: 3.1134 3.1134 15.6172 Å, 90.00 90.00 90.00°
With the nearest neighbours (Å) after each atom.
Space group P4/mmm (No. 123)
Unique sites:
Ti1 0.0000 0.0000 0.0000 (multiplicity 1)  8 Re 2.70
Ti2 0.0000 0.0000 0.2005 (multiplicity 2)  8 Re 2.70-2.71
Ti3 0.0000 0.0000 0.3970 (multiplicity 2)  4 Re 2.66, 4 Rh 2.73
Re1 0.5000 0.5000 0.0996 (multiplicity 2)  8 Ti 2.70-2.71
Re2 0.5000 0.5000 0.3011 (multiplicity 2)  8 Ti 2.66-2.70
Rh1 0.5000 0.5000 0.5000 (multiplicity 1)  8 Ti 2.73

Computed properties:
formation energy from the elements = -0.5103 eV/atom

---

[3]
DFT (PBE-GGA) results for an optimized crystal structure of BaNa2GeH.

Cell: 4.8175 4.8175 5.5047 Å, 90.00 90.00 90.00°
With the nearest neighbours (Å) after each atom.
Space group P4/mmm (No. 123)
Unique sites:
Ba1 0.0000 0.0000 0.0000 (multiplicity 1)  2 H 2.75
Na1 0.0000 0.5000 0.5000 (multiplicity 2)  2 H 2.41
Ge1 0.5000 0.5000 0.0000 (multiplicity 1)  4 Ba 3.41, 8 Na 3.66
H1 0.0000 0.0000 0.5000 (multiplicity 1)  4 Na 2.41

---

no.,raw total energy (Ry/atom),total moment (μB per cell)
1,-0.3171,0.001
2,-0.7476,0.000
3,-0.1977,0.507